Record 1
5
Lattice="-1.803 -3.870 1.950 4.258 -1.974 0.018 1.178 2.597 6.245" Properties=species:S:1:pos:R:3 comment="KTePdN2 PBE optimized geometry" density_kg_m3=3306 polymorph_energy_ev_per_fu=5.33 dos_ef_per_ev_cell=5.12 e_form_raw_mev_per_atom=2243 total_magnetization_mub_per_cell=5.969 pbc="T T T"
N 2.129 -0.987 0.009
N -0.901 -1.935 0.975
K 0.000 0.000 0.000
Pd 1.816 -1.624 4.106
Te 0.589 1.299 3.122

=====

Record 2
4
Lattice="3.648 0.000 0.000 1.824 3.159 0.000 1.824 1.053 10.649" Properties=species:S:1:pos:R:3 comment="KPm2N PBE optimized geometry" density_kg_m3=4643 dos_ef_per_ev_cell=3.28 e_form_raw_mev_per_atom=-517 total_magnetization_mub_per_cell=0.000 pbc="T T T"
Pm 1.824 1.053 6.667
Pm 5.472 3.159 3.981
N 3.648 2.106 5.324
K 0.000 0.000 0.000

=====

Record 3
11
Lattice="6.355 0.000 0.000 -3.177 5.498 -0.393 0.000 -3.607 6.605" Properties=species:S:1:pos:R:3 comment="K2PmRe2N6 PBE optimized geometry" density_kg_m3=5089 dos_ef_per_ev_cell=3.86 e_form_raw_mev_per_atom=-319 total_magnetization_mub_per_cell=1.023 pbc="T T T"
N 1.498 -2.432 4.968
N 3.177 0.502 4.154
N -1.679 4.323 1.243
N 4.857 -2.432 4.968
N 0.000 1.389 2.058
N 1.679 4.323 1.243
Re 0.000 -0.240 1.330
Re 3.177 2.131 4.882
Pm 3.177 -1.804 3.302
K 0.000 0.232 5.163
K 3.177 1.658 1.048

=====

Record 4
11
Lattice="-5.823 -0.371 -3.369 -3.233 -5.313 0.795 -2.969 5.557 2.793" Properties=species:S:1:pos:R:3 comment="KPm2Re2N6 PBE optimized geometry" density_kg_m3=5841 dos_ef_per_ev_cell=2.67 e_form_raw_mev_per_atom=-575 total_magnetization_mub_per_cell=0.000 pbc="T T T"
N -4.695 -1.294 -1.443
N -4.495 1.526 2.367
N -7.329 1.168 1.661
N -7.529 -1.653 -2.149
N -5.483 -1.350 1.769
N -6.541 1.224 -1.551
Pm -3.729 -2.288 0.561
Pm -8.295 2.162 -0.342
Re -6.154 -0.499 -2.114
Re -5.871 0.373 2.332
K -4.396 2.593 -0.288